Record 1
A plane-wave DFT calculation with GGA-PBE was carried out for a geometry-optimized SrVH structure.

Properties
As for the offset from the most stable computed form: 0.391 eV/atom.

Cell: 3.4146 3.4146 10.8293 Å, 90.00 90.00 120.00°
Closest atoms and distances in Å follow each position.
Element x y z (fractional)
Sr (0.0000, 0.0000, 0.1603)  3 H 2.63
Sr (0.0000, 0.0000, 0.8397)  3 H 2.63
V (0.6667, 0.3333, 0.4127)  1 V 1.89
V (0.6667, 0.3333, 0.5873)  1 V 1.89
H (0.3333, 0.6667, 0.0000)  6 Sr 2.63
H (0.3333, 0.6667, 0.5000)  6 V 2.19

Record 2
A plane-wave DFT calculation with GGA-PBE was carried out for a geometry-optimized PrDy7Hg4 structure.

Cell: 7.8696 7.8696 9.7460 Å, 119.90 119.90 42.60°
Closest atoms and distances in Å follow each position.
Element x y z (fractional)
Pr (0.0000, 0.0000, 0.0000)  2 Dy 2.86
Dy (0.0662, 0.0662, 0.4059)  3 Hg 3.08-3.20, 1 Dy 3.31
Dy (0.2074, 0.2074, 0.8835)  4 Hg 3.23-3.59, 5 Dy 3.44-3.59
Dy (0.2703, 0.2703, 0.3190)  4 Hg 2.95-3.14
Dy (0.5000, 0.5000, 0.0000)  2 Pr 2.86, 4 Hg 2.96-3.09
Dy (0.7297, 0.7297, 0.6810)  4 Hg 2.95-3.14
Dy (0.7926, 0.7926, 0.1165)  4 Hg 3.23-3.59, 5 Dy 3.44-3.59
Dy (0.9338, 0.9338, 0.5941)  3 Hg 3.08-3.20, 1 Dy 3.31
Hg (0.3103, 0.3103, 0.6619)  6 Dy 2.96-3.23, 1 Hg 3.17
Hg (0.4542, 0.4542, 0.2746)  4 Dy 2.95-3.20, 1 Hg 3.17
Hg (0.5458, 0.5458, 0.7254)  4 Dy 2.95-3.20, 1 Hg 3.17
Hg (0.6897, 0.6897, 0.3381)  6 Dy 2.96-3.23, 1 Hg 3.17

Record 3
A plane-wave DFT calculation with GGA-PBE was carried out for a geometry-optimized Ba2Zr3PaO12 structure.

Properties
The uncorrected formation energy comes out at -2.719 eV/atom.

Cell: 7.8137 7.8137 7.8137 Å, 57.86 57.86 57.86°
Closest atoms and distances in Å follow each position.
Element x y z (fractional)
Ba (0.0996, 0.0996, 0.0996)  3 O 2.89
Ba (0.9004, 0.9004, 0.9004)  3 O 2.89
Zr (0.0000, 0.5000, 0.5000)  6 O 2.10-2.12
Zr (0.5000, 0.0000, 0.5000)  6 O 2.10-2.12
Zr (0.5000, 0.5000, 0.0000)  6 O 2.10-2.12
Pa (0.5000, 0.5000, 0.5000)  6 O 2.13
O (0.1661, 0.1661, 0.5911)  2 Zr 2.10
O (0.1661, 0.5911, 0.1661)  2 Zr 2.10
O (0.1680, 0.5766, 0.5766)  1 Zr 2.12, 1 Pa 2.13
O (0.4089, 0.8339, 0.8339)  2 Zr 2.10
O (0.4234, 0.4234, 0.8320)  1 Zr 2.12, 1 Pa 2.13
O (0.4234, 0.8320, 0.4234)  1 Zr 2.12, 1 Pa 2.13
O (0.5766, 0.1680, 0.5766)  1 Zr 2.12, 1 Pa 2.13
O (0.5766, 0.5766, 0.1680)  1 Zr 2.12, 1 Pa 2.13
O (0.5911, 0.1661, 0.1661)  2 Zr 2.10
O (0.8320, 0.4234, 0.4234)  1 Zr 2.12, 1 Pa 2.13
O (0.8339, 0.4089, 0.8339)  2 Zr 2.10
O (0.8339, 0.8339, 0.4089)  2 Zr 2.10

no.,calculated total energy (eV/atom),N(E_F) (states/eV per atom)
1,-4.21,0.73
2,-3.29,1.06
3,-8.19,0.59